Record 1
{
  "formula": "CsKNaAu",
  "functional": "PBE",
  "state": "relaxed",
  "lattice_angstrom": [[5.191, 0.000, 0.000], [2.595, 4.495, 0.000], [2.595, 1.498, 8.541]],
  "species": ["Cs", "Au", "K", "Na"],
  "frac_coords": [[0.474, 0.474, 0.579], [0.237, 0.237, 0.289], [0.655, 0.655, 0.036], [0.909, 0.909, 0.273]],
  "mass_density_g_cm3": 3.3,
  "e_tot_ev_per_atom": -1.804,
  "e_form_ev_per_atom": -0.168,
  "dos_at_fermi_per_ev_atom": 0.537
}

***

Record 2
{
  "formula": "KCeTaO5",
  "functional": "PBE",
  "state": "relaxed",
  "lattice_angstrom": [[-4.596, -4.031, -1.986], [0.706, -1.117, 6.290], [-3.491, 7.332, -0.345]],
  "species": ["Ta", "O", "Ce", "O", "K", "O", "O", "O", "Ce", "O", "K", "O", "Ta", "O", "O", "O"],
  "frac_coords": [[0.317, 0.683, 0.750], [0.880, 0.303, 0.114], [0.000, 0.000, 0.000], [0.385, 0.238, 0.097], [0.674, 0.326, 0.750], [0.697, 0.120, 0.386], [0.303, 0.880, 0.614], [0.062, 0.938, 0.250], [0.000, 0.000, 0.500], [0.238, 0.385, 0.597], [0.326, 0.674, 0.250], [0.938, 0.062, 0.750], [0.683, 0.317, 0.250], [0.120, 0.697, 0.886], [0.615, 0.762, 0.903], [0.762, 0.615, 0.403]],
  "mass_density_g_cm3": 5.0,
  "e_tot_ev_per_atom": -8.342,
  "e_form_raw_ev_per_atom": -2.88,
  "dos_at_fermi_per_ev_atom": 0.000
}

***

Record 3
{
  "formula": "TaRh2Br",
  "functional": "PBE",
  "state": "relaxed",
  "lattice_angstrom": [[-5.142, 1.125, 4.020], [-1.335, -1.739, 6.250], [3.832, 2.815, -4.610]],
  "species": ["Rh", "Br", "Rh", "Ta"],
  "frac_coords": [[0.665, 0.165, 0.500], [0.310, 0.810, 0.500], [0.020, 0.020, 0.000], [0.505, 0.505, 0.000]],
  "e_above_lowest_polymorph_mev_per_atom": 358,
  "mass_density_g_cm3": 9.6,
  "e_tot_ev_per_atom": -6.937,
  "e_form_raw_ev_per_atom": 0.12,
  "dos_at_fermi_per_ev_atom": 0.443
}

***

Record 4
{
  "formula": "AgMoPd6",
  "functional": "PBE",
  "state": "relaxed",
  "lattice_angstrom": [[-0.560, 0.150, -3.932], [-3.093, -2.473, 0.346], [-4.831, 6.172, 0.924]],
  "species": ["Pd", "Pd", "Pd", "Mo", "Ag", "Pd", "Pd", "Pd"],
  "frac_coords": [[0.500, 0.500, 0.500], [0.500, 0.000, 0.262], [0.500, 0.500, 0.000], [0.000, 0.000, 0.500], [0.000, 0.000, 0.000], [0.000, 0.500, 0.738], [0.000, 0.500, 0.262], [0.500, 0.000, 0.738]],
  "mass_density_g_cm3": 11.2,
  "e_tot_ev_per_atom": -5.684,
  "e_form_ev_per_atom": -0.079,
  "dos_at_fermi_per_ev_atom": 0.797
}

***

Record 5
{
  "formula": "AcGaAg2Pd",
  "functional": "PBE",
  "state": "relaxed",
  "lattice_angstrom": [[-2.524, -3.017, -1.757], [2.559, -0.001, -3.674], [3.367, -2.694, 5.074]],
  "species": ["Ag", "Ga", "Ac", "Pd", "Ag"],
  "frac_coords": [[0.057, 0.057, 0.113], [0.197, 0.697, 0.393], [0.435, 0.435, 0.869], [0.827, 0.827, 0.655], [0.697, 0.197, 0.394]],
  "mass_density_g_cm3": 9.0,
  "e_tot_ev_per_atom": -4.013,
  "e_form_ev_per_atom": -0.407,
  "dos_at_fermi_per_ev_atom": 0.450
}

***

Record 6
{
  "formula": "Mg2Ni6AsP",
  "functional": "PBE",
  "state": "relaxed",
  "lattice_angstrom": [[4.991, 0.000, 0.000], [0.000, 7.458, 0.000], [0.000, 0.000, 7.793]],
  "species": ["Mg", "Ni", "Ni", "Ni", "Ni", "Ni", "Ni", "Ni", "P", "Mg", "Ni", "P", "Mg", "Mg", "As", "Ni", "Ni", "As", "Ni", "Ni"],
  "frac_coords": [[0.000, 0.270, 0.243], [0.751, 0.523, 0.000], [0.249, 0.523, 0.000], [0.251, 0.477, 0.500], [0.748, 0.999, 0.000], [0.749, 0.477, 0.500], [0.752, 0.001, 0.500], [0.500, 0.099, 0.748], [0.000, 0.755, 0.000], [0.500, 0.730, 0.257], [0.252, 0.999, 0.000], [0.500, 0.245, 0.500], [0.500, 0.730, 0.743], [0.000, 0.270, 0.757], [0.500, 0.269, 0.000], [0.248, 0.001, 0.500], [0.000, 0.901, 0.752], [0.000, 0.731, 0.500], [0.000, 0.901, 0.248], [0.500, 0.099, 0.252]],
  "mass_density_g_cm3": 5.8,
  "e_tot_ev_per_atom": -5.060,
  "e_form_ev_per_atom": -0.266,
  "dos_at_fermi_per_ev_atom": 0.662
}